[1]
DFT (PBE-GGA) results for an optimized crystal structure of Na2ZrCl5.

Cell and atoms, written as POSCAR:
```
Na2ZrCl5
1.0
12.115 0.000 0.000
0.000 8.070 0.000
0.000 0.000 7.562
Na Zr Cl
8 4 20
Cartesian
2.121 0.005 0.319
2.121 4.030 0.319
3.936 4.040 4.100
3.936 8.065 4.100
8.179 0.005 3.462
8.179 4.030 3.462
9.994 4.040 7.242
9.994 8.065 7.242
0.024 2.017 3.227
6.033 6.052 7.008
6.082 2.017 0.554
12.091 6.052 4.335
0.008 2.017 0.563
1.037 0.303 4.983
1.037 3.732 4.983
2.062 6.052 2.712
2.551 2.017 2.533
3.507 6.052 6.313
3.996 2.017 6.493
5.020 4.338 1.203
5.020 7.766 1.203
6.050 6.052 4.344
6.065 2.017 3.217
7.095 0.303 6.359
7.095 3.732 6.359
8.119 6.052 1.068
8.609 2.017 1.248
9.564 6.052 5.029
10.054 2.017 4.849
11.078 4.338 2.578
11.078 7.766 2.578
12.108 6.052 6.998
```

Computed properties:
- VASP energy (eV per cell) = -135.3
- distance to the lowest polymorph of the same formula (meV per atom) = 0.0
- ρ (Mg/m³) = 2.8
- N(E_F) (states/eV/cell) = 19.15

***

[2]
DFT (PBE-GGA) results for an optimized crystal structure of LiInPbO4.

Cell and atoms, written as POSCAR:
```
LiInPbO4
1.0
-3.236 3.305 4.616
3.236 -3.305 4.616
3.236 3.305 -4.616
Li In Pb O
2 2 2 8
Cartesian
0.000 1.653 1.214
3.236 1.653 3.402
1.618 1.653 -2.308
1.618 -1.653 2.308
3.236 0.000 0.000
0.000 0.000 4.616
3.236 -0.144 2.200
3.236 3.161 -2.200
1.722 1.653 -0.074
4.749 1.653 -0.074
-1.514 1.653 4.691
1.514 1.653 4.691
0.000 0.144 6.817
0.000 3.449 2.416
```

Computed properties:
- VASP energy (eV per cell) = -75.6
- ρ (Mg/m³) = 6.6

***

[3]
DFT (PBE-GGA) results for an optimized crystal structure of Ac3PmY3S8.

Cell and atoms, written as POSCAR:
```
Ac3PmY3S8
1.0
4.038 2.331 6.887
-4.038 2.331 6.887
0.000 -4.663 6.887
Ac Pm Y S
3 1 3 8
Cartesian
-2.019 -1.166 6.887
-2.019 1.166 13.773
0.000 2.331 6.887
0.000 0.000 10.330
-4.038 0.000 10.330
-2.019 1.166 3.443
2.019 1.166 3.443
-2.073 -1.197 11.900
0.000 0.000 4.967
0.000 -2.394 8.760
-2.073 1.197 8.760
2.073 -1.197 11.900
0.000 2.394 11.900
0.000 0.000 15.693
2.073 1.197 8.760
```

Computed properties:
- VASP energy (eV per cell) = -100.0
- ρ (Mg/m³) = 5.8
- N(E_F) (states/eV/cell) = 7.25

***

[4]
DFT (PBE-GGA) results for an optimized crystal structure of ZnAuCl.

Cell and atoms, written as POSCAR:
```
ZnAuCl
1.0
2.717 -2.712 0.000
2.717 2.712 0.000
-0.180 0.000 9.902
Zn Au Cl
2 2 2
Cartesian
0.104 0.000 2.933
5.151 0.000 6.969
1.275 1.234 5.117
3.980 1.234 4.785
1.163 -1.243 8.349
4.092 -1.243 1.554
```

Computed properties:
- VASP energy (eV per cell) = -15.7
- distance to the lowest polymorph of the same formula (meV per atom) = 46.7
- ρ (Mg/m³) = 6.8
- N(E_F) (states/eV/cell) = 1.22

***

[5]
DFT (PBE-GGA) results for an optimized crystal structure of AsOs.

Cell and atoms, written as POSCAR:
```
AsOs
1.0
3.028 0.000 0.000
0.000 3.893 0.000
-1.439 0.000 5.265
As Os
2 2
Cartesian
0.037 0.973 1.699
1.552 2.919 3.566
0.044 0.973 4.251
1.545 2.919 1.014
```

Computed properties:
- VASP energy (eV per cell) = -30.2
- ρ (Mg/m³) = 14.2
- N(E_F) (states/eV/cell) = 2.82
- ΔE_f (eV/f.u.) = 0.755

***

[6]
DFT (PBE-GGA) results for an optimized crystal structure of Sr2LiLaRh.

Cell and atoms, written as POSCAR:
```
Sr2LiLaRh
1.0
6.035 0.000 0.000
0.000 6.035 0.000
0.000 0.000 5.379
Sr Li La Rh
2 1 1 1
Cartesian
0.000 3.017 0.000
3.017 0.000 0.000
0.000 0.000 2.690
3.017 3.017 2.690
3.017 3.017 0.000
```

Computed properties:
- VASP energy (eV per cell) = -18.5
- ρ (Mg/m³) = 3.6
- N(E_F) (states/eV/cell) = 3.61
- ΔE_f (eV/f.u.) = -0.926

***

Among the records above, which one has the highest ρ?
AsOs

***

Which of these has the lowest VASP energy?
Na2ZrCl5

***

Among the records above, which one has the lowest ρ?
Na2ZrCl5

***

Which of these has the highest ρ?
AsOs